(1)
This record from Alexandria describes an optimized crystal structure of Ac6Ni2Au. The functional is GGA-PBE.

Structure (POSCAR):
```
Ac6Ni2Au
1.0
-5.022 5.361 5.469
5.022 -5.361 5.469
5.022 5.361 -5.469
Ac Ni Au
12 4 2
Direct
0.035 0.225 0.810 Ac
0.175 0.295 0.470 Ac
0.175 0.705 0.880 Ac
0.330 0.019 0.689 Ac
0.330 0.641 0.311 Ac
0.416 0.225 0.190 Ac
0.584 0.775 0.810 Ac
0.670 0.359 0.689 Ac
0.670 0.981 0.311 Ac
0.825 0.295 0.120 Ac
0.825 0.705 0.530 Ac
0.965 0.775 0.190 Ac
0.122 0.622 0.500 Ni
0.357 0.000 0.357 Ni
0.643 0.000 0.643 Ni
0.878 0.378 0.500 Ni
0.000 0.000 0.000 Au
0.500 0.500 0.000 Au
```

Computed properties:
E_form: -267 meV/atom
Fermi-level density of states: 8.78 states/eV/f.u.



(2)
This record from Alexandria describes an optimized crystal structure of Ac2NiAu. The functional is GGA-PBE.

Structure (POSCAR):
```
Ac2NiAu
1.0
2.163 1.249 7.543
-2.163 1.249 7.543
0.000 -2.498 7.543
Ac Ni Au
2 1 1
Direct
0.000 0.000 0.000 Ac
0.186 0.186 0.186 Ac
0.594 0.594 0.594 Ni
0.759 0.759 0.759 Au
```

Computed properties:
E_form: -482 meV/atom
Fermi-level density of states: 2.61 states/eV/f.u.



E_form of number 1 (Ac6Ni2Au)? -267 meV/atom



Repeat the first record exactly.
This record from Alexandria describes an optimized crystal structure of Ac6Ni2Au. The functional is GGA-PBE.

Structure (POSCAR):
```
Ac6Ni2Au
1.0
-5.022 5.361 5.469
5.022 -5.361 5.469
5.022 5.361 -5.469
Ac Ni Au
12 4 2
Direct
0.035 0.225 0.810 Ac
0.175 0.295 0.470 Ac
0.175 0.705 0.880 Ac
0.330 0.019 0.689 Ac
0.330 0.641 0.311 Ac
0.416 0.225 0.190 Ac
0.584 0.775 0.810 Ac
0.670 0.359 0.689 Ac
0.670 0.981 0.311 Ac
0.825 0.295 0.120 Ac
0.825 0.705 0.530 Ac
0.965 0.775 0.190 Ac
0.122 0.622 0.500 Ni
0.357 0.000 0.357 Ni
0.643 0.000 0.643 Ni
0.878 0.378 0.500 Ni
0.000 0.000 0.000 Au
0.500 0.500 0.000 Au
```

Computed properties:
E_form: -267 meV/atom
Fermi-level density of states: 8.78 states/eV/f.u.